1.
Entry from the Alexandria database: an optimized crystal structure of NaGa2Si (PBE-GGA). Values from VASP.

Quantum ESPRESSO input file:
```
&SYSTEM
  ibrav = 0, nat = 4, ntyp = 3
/
ATOMIC_SPECIES
Ga 69.72 Ga.upf
Na 22.99 Na.upf
Si 28.09 Si.upf
CELL_PARAMETERS angstrom
-1.419 -2.874 2.405
0.884 -3.840 -0.729
6.381 -1.605 5.184
ATOMIC_POSITIONS crystal
Ga 0.879 0.879 0.363
Ga 0.121 0.121 0.637
Na 0.000 0.000 0.000
Si 0.500 0.500 0.500
```

D(E_F) = 2.2 states/eV/f.u.
Uncorrected formation energy = 0.194 eV/atom

=====

2.
Entry from the Alexandria database: an optimized crystal structure of Li3HoP2 (PBE-GGA). Values from VASP.

Quantum ESPRESSO input file:
```
&SYSTEM
  ibrav = 0, nat = 18, ntyp = 3
/
ATOMIC_SPECIES
Li 6.94 Li.upf
P 30.97 P.upf
Ho 164.93 Ho.upf
CELL_PARAMETERS angstrom
-0.862 -2.993 2.319
7.504 -1.655 -2.597
1.948 5.521 7.850
ATOMIC_POSITIONS crystal
Li 0.623 0.246 0.234
Li 0.790 0.581 0.591
Li 0.317 0.635 0.009
Li 0.950 0.901 0.660
Li 0.377 0.754 0.766
Li 0.210 0.419 0.409
Li 0.050 0.099 0.340
Li 0.683 0.365 0.991
Li 0.500 0.000 0.500
P 0.805 0.610 0.848
P 0.455 0.911 0.188
P 0.195 0.390 0.152
P 0.642 0.285 0.498
P 0.358 0.715 0.502
P 0.545 0.089 0.812
Ho 0.835 0.671 0.281
Ho 0.000 0.000 0.000
Ho 0.165 0.329 0.719
```

D(E_F) = 0.0 states/eV/f.u.
Formation enthalpy at 0 K = -0.900 eV/atom

=====

3.
Entry from the Alexandria database: an optimized crystal structure of SiAgIr (PBE-GGA). Values from VASP.

Quantum ESPRESSO input file:
```
&SYSTEM
  ibrav = 0, nat = 3, ntyp = 3
/
ATOMIC_SPECIES
Ir 192.22 Ir.upf
Si 28.09 Si.upf
Ag 107.87 Ag.upf
CELL_PARAMETERS angstrom
-1.843 -1.219 3.451
-1.593 -3.768 0.252
1.776 -2.820 2.386
ATOMIC_POSITIONS crystal
Ir 0.500 0.500 0.500
Si 0.750 0.750 0.750
Ag 0.000 0.000 0.000
```

D(E_F) = 0.5 states/eV/f.u.
Uncorrected formation energy = -0.094 eV/atom

=====

4.
Entry from the Alexandria database: an optimized crystal structure of TbSm3Ho6Th2 (PBE-GGA). Values from VASP.

Quantum ESPRESSO input file:
```
&SYSTEM
  ibrav = 0, nat = 12, ntyp = 4
/
ATOMIC_SPECIES
Sm 150.36 Sm.upf
Ho 164.93 Ho.upf
Th 232.04 Th.upf
Tb 158.93 Tb.upf
CELL_PARAMETERS angstrom
6.182 0.001 0.002
-3.089 5.355 0.002
-1.036 -1.794 11.562
ATOMIC_POSITIONS crystal
Sm 0.166 0.834 0.500
Sm 0.834 0.166 0.500
Sm 0.500 0.500 0.500
Ho 0.420 0.082 0.246
Ho 0.082 0.420 0.246
Ho 0.745 0.745 0.246
Ho 0.918 0.580 0.754
Ho 0.255 0.255 0.754
Ho 0.580 0.918 0.754
Th 0.667 0.333 0.000
Th 0.333 0.667 0.000
Tb 0.000 0.000 0.000
```

D(E_F) = 15.6 states/eV/f.u.
Formation enthalpy at 0 K = 0.020 eV/atom

=====

5.
Entry from the Alexandria database: an optimized crystal structure of Sc2ReTcSe (PBE-GGA). Values from VASP.

Quantum ESPRESSO input file:
```
&SYSTEM
  ibrav = 0, nat = 5, ntyp = 4
/
ATOMIC_SPECIES
Tc 98.00 Tc.upf
Se 78.96 Se.upf
Re 186.21 Re.upf
Sc 44.96 Sc.upf
CELL_PARAMETERS angstrom
-3.038 3.384 2.160
-3.486 -1.442 -2.643
-1.265 -3.377 3.512
ATOMIC_POSITIONS crystal
Tc 0.000 0.000 0.000
Se 0.500 0.500 0.500
Re 0.000 0.500 0.000
Sc 0.000 0.000 0.500
Sc 0.500 0.000 0.000
```

D(E_F) = 4.4 states/eV/f.u.
Uncorrected formation energy = 0.538 eV/atom

=====

6.
Entry from the Alexandria database: an optimized crystal structure of Pm4YEr2 (PBE-GGA). Values from VASP.

Quantum ESPRESSO input file:
```
&SYSTEM
  ibrav = 0, nat = 14, ntyp = 3
/
ATOMIC_SPECIES
Er 167.26 Er.upf
Pm 145.00 Pm.upf
Y 88.91 Y.upf
CELL_PARAMETERS angstrom
-4.620 -2.629 -11.350
9.401 -0.426 8.277
-4.421 -3.701 3.574
ATOMIC_POSITIONS crystal
Er 0.920 0.101 0.051
Er 0.620 0.301 0.450
Er 0.301 0.620 0.950
Er 0.101 0.920 0.551
Pm 0.712 0.175 0.862
Pm 0.563 0.601 0.139
Pm 0.794 0.185 0.394
Pm 0.175 0.712 0.362
Pm 0.041 0.150 0.606
Pm 0.150 0.041 0.106
Pm 0.601 0.563 0.639
Pm 0.185 0.794 0.894
Y 0.674 0.424 0.000
Y 0.424 0.674 0.500
```

D(E_F) = 10.1 states/eV/f.u.
Formation enthalpy at 0 K = 0.055 eV/atom

=====

7.
Entry from the Alexandria database: an optimized crystal structure of CoSiW2 (PBE-GGA). Values from VASP.

Quantum ESPRESSO input file:
```
&SYSTEM
  ibrav = 0, nat = 4, ntyp = 3
/
ATOMIC_SPECIES
W 183.84 W.upf
Co 58.93 Co.upf
Si 28.09 Si.upf
CELL_PARAMETERS angstrom
4.754 -0.022 -0.005
-1.842 4.383 -0.005
0.304 0.455 2.662
ATOMIC_POSITIONS crystal
W 0.500 0.500 0.000
W 0.000 0.000 0.000
Co 0.500 0.000 0.500
Si 0.000 0.500 0.500
```

D(E_F) = 3.1 states/eV/f.u.
Uncorrected formation energy = 0.085 eV/atom

=====

8.
Entry from the Alexandria database: an optimized crystal structure of Ho2TmZn5 (PBE-GGA). Values from VASP.

Quantum ESPRESSO input file:
```
&SYSTEM
  ibrav = 0, nat = 8, ntyp = 3
/
ATOMIC_SPECIES
Zn 65.41 Zn.upf
Tm 168.93 Tm.upf
Ho 164.93 Ho.upf
CELL_PARAMETERS angstrom
-2.492 3.552 -2.005
-1.454 -2.969 -3.452
-3.608 -2.035 6.578
ATOMIC_POSITIONS crystal
Zn 0.500 0.500 0.000
Zn 0.114 0.614 0.228
Zn 0.386 0.886 0.772
Zn 0.886 0.386 0.772
Zn 0.614 0.114 0.228
Tm 0.000 0.000 0.000
Ho 0.265 0.265 0.530
Ho 0.735 0.735 0.470
```

D(E_F) = 2.8 states/eV/f.u.
Formation enthalpy at 0 K = -0.310 eV/atom

=====

9.
Entry from the Alexandria database: an optimized crystal structure of Mg6Se5S (PBE-GGA). Values from VASP.

Quantum ESPRESSO input file:
```
&SYSTEM
  ibrav = 0, nat = 12, ntyp = 3
/
ATOMIC_SPECIES
Se 78.96 Se.upf
Mg 24.30 Mg.upf
S 32.06 S.upf
CELL_PARAMETERS angstrom
-4.867 0.744 4.529
0.633 -4.674 4.745
3.710 1.231 5.434
ATOMIC_POSITIONS crystal
Se 0.000 0.667 0.666
Se 0.500 0.167 0.666
Se 0.500 0.833 0.334
Se 0.500 0.500 0.000
Se 0.000 0.333 0.334
Mg 0.246 0.918 0.675
Mg 0.754 0.407 0.675
Mg 0.753 0.758 0.000
Mg 0.246 0.593 0.325
Mg 0.247 0.242 0.000
Mg 0.754 0.082 0.325
S 0.000 0.000 0.000
```

D(E_F) = 0.0 states/eV/f.u.
Uncorrected formation energy = -1.268 eV/atom

=====

10.
Entry from the Alexandria database: an optimized crystal structure of CaGa3Pt (PBE-GGA). Values from VASP.

Quantum ESPRESSO input file:
```
&SYSTEM
  ibrav = 0, nat = 5, ntyp = 3
/
ATOMIC_SPECIES
Pt 195.08 Pt.upf
Ga 69.72 Ga.upf
Ca 40.08 Ca.upf
CELL_PARAMETERS angstrom
6.300 -0.011 0.000
3.461 5.264 0.000
-4.880 -2.627 2.995
ATOMIC_POSITIONS crystal
Pt 0.384 0.384 0.000
Ga 0.255 0.755 0.500
Ga 0.607 0.607 0.000
Ga 0.755 0.255 0.500
Ca 0.000 0.000 0.000
```

D(E_F) = 1.8 states/eV/f.u.
Formation enthalpy at 0 K = -0.664 eV/atom

=====

11.
Entry from the Alexandria database: an optimized crystal structure of ThHg4Pb7 (PBE-GGA). Values from VASP.

Quantum ESPRESSO input file:
```
&SYSTEM
  ibrav = 0, nat = 12, ntyp = 3
/
ATOMIC_SPECIES
Hg 200.59 Hg.upf
Pb 207.20 Pb.upf
Th 232.04 Th.upf
CELL_PARAMETERS angstrom
-4.982 3.811 1.327
-7.920 -3.844 -3.207
-4.221 -2.116 5.717
ATOMIC_POSITIONS crystal
Hg 0.263 0.341 0.134
Hg 0.504 0.329 0.663
Hg 0.737 0.659 0.866
Hg 0.496 0.671 0.337
Pb 0.011 0.651 0.327
Pb 0.261 0.667 0.811
Pb 0.500 0.000 0.000
Pb 0.739 0.333 0.189
Pb 0.989 0.349 0.673
Pb 0.754 0.971 0.522
Pb 0.246 0.029 0.478
Th 0.000 0.000 0.000
```

D(E_F) = 6.8 states/eV/f.u.
Formation enthalpy at 0 K = 0.095 eV/atom

=====

12.
Entry from the Alexandria database: an optimized crystal structure of Er5SbAs4 (PBE-GGA). Values from VASP.

Quantum ESPRESSO input file:
```
&SYSTEM
  ibrav = 0, nat = 10, ntyp = 3
/
ATOMIC_SPECIES
Sb 121.76 Sb.upf
Er 167.26 Er.upf
As 74.92 As.upf
CELL_PARAMETERS angstrom
-1.154 -5.557 -1.476
3.844 -2.421 -5.544
4.067 -4.837 3.381
ATOMIC_POSITIONS crystal
Sb 0.001 0.000 0.000
Er 0.311 0.793 0.586
Er 0.501 0.000 0.000
Er 0.104 0.586 0.207
Er 0.691 0.207 0.414
Er 0.898 0.414 0.793
As 0.604 0.597 0.197
As 0.201 0.197 0.403
As 0.801 0.803 0.597
As 0.398 0.403 0.803
```

D(E_F) = 0.9 states/eV/f.u.
Uncorrected formation energy = -1.412 eV/atom

=====

13.
Entry from the Alexandria database: an optimized crystal structure of Ac6Zn2Ag (PBE-GGA). Values from VASP.

Quantum ESPRESSO input file:
```
&SYSTEM
  ibrav = 0, nat = 18, ntyp = 3
/
ATOMIC_SPECIES
Ag 107.87 Ag.upf
Ac 227.00 Ac.upf
Zn 65.41 Zn.upf
CELL_PARAMETERS angstrom
8.829 0.167 -3.271
-4.552 7.763 -2.776
-0.145 -0.167 9.415
ATOMIC_POSITIONS crystal
Ag 0.000 0.000 0.000
Ag 0.000 0.500 0.500
Ac 0.560 0.736 0.824
Ac 0.810 0.747 0.557
Ac 0.298 0.974 0.676
Ac 0.190 0.253 0.443
Ac 0.912 0.736 0.176
Ac 0.190 0.747 0.936
Ac 0.702 0.378 0.676
Ac 0.298 0.622 0.324
Ac 0.810 0.253 0.064
Ac 0.440 0.264 0.176
Ac 0.702 0.026 0.324
Ac 0.088 0.264 0.824
Zn 0.645 0.000 0.645
Zn 0.500 0.385 0.885
Zn 0.500 0.615 0.115
Zn 0.355 0.000 0.355
```

D(E_F) = 11.8 states/eV/f.u.
Formation enthalpy at 0 K = -0.115 eV/atom

=====

14.
Entry from the Alexandria database: an optimized crystal structure of ScCSN2 (PBE-GGA). Values from VASP.

Quantum ESPRESSO input file:
```
&SYSTEM
  ibrav = 0, nat = 5, ntyp = 4
/
ATOMIC_SPECIES
N 14.01 N.upf
Sc 44.96 Sc.upf
S 32.06 S.upf
C 12.01 C.upf
CELL_PARAMETERS angstrom
-1.293 -3.054 -2.541
3.972 -1.026 -0.788
-0.059 -3.282 3.974
ATOMIC_POSITIONS crystal
N 0.500 0.000 0.000
N 0.000 0.500 0.000
Sc 0.000 0.000 0.000
S 0.000 0.000 0.500
C 0.500 0.500 0.500
```

D(E_F) = 2.9 states/eV/f.u.
Uncorrected formation energy = 2.039 eV/atom

=====

15.
Entry from the Alexandria database: an optimized crystal structure of BeIn2Hg (PBE-GGA). Values from VASP.

Quantum ESPRESSO input file:
```
&SYSTEM
  ibrav = 0, nat = 4, ntyp = 3
/
ATOMIC_SPECIES
In 114.82 In.upf
Be 9.01 Be.upf
Hg 200.59 Hg.upf
CELL_PARAMETERS angstrom
0.000 3.567 3.567
3.567 0.000 3.567
3.567 3.567 0.000
ATOMIC_POSITIONS crystal
In 0.750 0.750 0.750
In 0.250 0.250 0.250
Be 0.000 0.000 0.000
Hg 0.500 0.500 0.500
```

D(E_F) = 1.9 states/eV/f.u.
Formation enthalpy at 0 K = 0.472 eV/atom

=====

16.
Entry from the Alexandria database: an optimized crystal structure of Li10B14Cl2O25 (PBE-GGA). Values from VASP.

Quantum ESPRESSO input file:
```
&SYSTEM
  ibrav = 0, nat = 51, ntyp = 4
/
ATOMIC_SPECIES
O 16.00 O.upf
B 10.81 B.upf
Li 6.94 Li.upf
Cl 35.45 Cl.upf
CELL_PARAMETERS angstrom
8.650 0.000 0.000
4.325 7.491 0.000
4.325 2.497 7.063
ATOMIC_POSITIONS crystal
O 0.296 0.898 0.064
O 0.898 0.742 0.064
O 0.064 0.898 0.742
O 0.296 0.742 0.898
O 0.393 0.561 0.242
O 0.742 0.064 0.898
O 0.742 0.296 0.064
O 0.742 0.898 0.296
O 0.064 0.296 0.898
O 0.064 0.742 0.296
O 0.561 0.804 0.242
O 0.804 0.242 0.561
O 0.898 0.064 0.296
O 0.000 0.000 0.000
O 0.804 0.561 0.393
O 0.393 0.804 0.561
O 0.296 0.064 0.742
O 0.898 0.296 0.742
O 0.393 0.242 0.804
O 0.242 0.393 0.561
O 0.242 0.561 0.804
O 0.804 0.393 0.242
O 0.242 0.804 0.393
O 0.561 0.393 0.804
O 0.561 0.242 0.393
B 0.399 0.399 0.803
B 0.919 0.919 0.919
B 0.251 0.749 0.749
B 0.803 0.399 0.399
B 0.749 0.251 0.749
B 0.749 0.251 0.251
B 0.251 0.749 0.251
B 0.399 0.803 0.399
B 0.251 0.251 0.749
B 0.749 0.749 0.251
B 0.919 0.919 0.242
B 0.919 0.242 0.919
B 0.399 0.399 0.399
B 0.242 0.919 0.919
Li 0.544 0.544 0.956
Li 0.594 0.135 0.135
Li 0.135 0.135 0.135
Li 0.544 0.956 0.956
Li 0.135 0.594 0.135
Li 0.956 0.544 0.544
Li 0.956 0.956 0.544
Li 0.135 0.135 0.594
Li 0.544 0.956 0.544
Li 0.956 0.544 0.956
Cl 0.750 0.750 0.750
Cl 0.250 0.250 0.250
```

D(E_F) = 0.0 states/eV/f.u.
Uncorrected formation energy = -2.376 eV/atom

=====

17.
Entry from the Alexandria database: an optimized crystal structure of BeAl3Fe (PBE-GGA). Values from VASP.

Quantum ESPRESSO input file:
```
&SYSTEM
  ibrav = 0, nat = 5, ntyp = 3
/
ATOMIC_SPECIES
Be 9.01 Be.upf
Al 26.98 Al.upf
Fe 55.84 Fe.upf
CELL_PARAMETERS angstrom
4.442 0.000 0.000
0.000 4.442 0.000
0.000 0.000 4.442
ATOMIC_POSITIONS crystal
Be 0.500 0.500 0.500
Al 0.000 0.500 0.000
Al 0.500 0.000 0.000
Al 0.000 0.000 0.500
Fe 0.000 0.000 0.000
```

D(E_F) = 1.9 states/eV/f.u.
Formation enthalpy at 0 K = 0.473 eV/atom

=====

18.
Entry from the Alexandria database: an optimized crystal structure of SrHg2N (PBE-GGA). Values from VASP.

Quantum ESPRESSO input file:
```
&SYSTEM
  ibrav = 0, nat = 8, ntyp = 3
/
ATOMIC_SPECIES
Hg 200.59 Hg.upf
N 14.01 N.upf
Sr 87.62 Sr.upf
CELL_PARAMETERS angstrom
8.534 0.000 0.000
0.000 8.534 0.000
4.267 4.267 2.567
ATOMIC_POSITIONS crystal
Hg 0.875 0.787 0.750
Hg 0.537 0.125 0.250
Hg 0.375 0.463 0.750
Hg 0.213 0.625 0.250
N 0.500 0.500 0.000
N 0.250 0.750 0.500
Sr 0.750 0.250 0.500
Sr 0.000 0.000 0.000
```

D(E_F) = 2.2 states/eV/f.u.
Uncorrected formation energy = 0.187 eV/atom

=====

19.
Entry from the Alexandria database: an optimized crystal structure of Re3PdCl (PBE-GGA). Values from VASP.

Quantum ESPRESSO input file:
```
&SYSTEM
  ibrav = 0, nat = 5, ntyp = 3
/
ATOMIC_SPECIES
Cl 35.45 Cl.upf
Re 186.21 Re.upf
Pd 106.42 Pd.upf
CELL_PARAMETERS angstrom
4.325 0.000 0.000
0.000 4.325 0.000
0.000 0.000 4.325
ATOMIC_POSITIONS crystal
Cl 0.000 0.000 0.000
Re 0.500 0.000 0.000
Re 0.000 0.500 0.000
Re 0.000 0.000 0.500
Pd 0.500 0.500 0.500
```

D(E_F) = 2.2 states/eV/f.u.
Uncorrected formation energy = 1.593 eV/atom

=====

20.
Entry from the Alexandria database: an optimized crystal structure of Ho3Au2 (PBE-GGA). Values from VASP.

Quantum ESPRESSO input file:
```
&SYSTEM
  ibrav = 0, nat = 10, ntyp = 2
/
ATOMIC_SPECIES
Ho 164.93 Ho.upf
Au 196.97 Au.upf
CELL_PARAMETERS angstrom
-2.752 -2.579 0.157
1.868 -2.453 -7.534
5.250 -5.415 3.064
ATOMIC_POSITIONS crystal
Ho 0.500 0.662 0.838
Ho 0.000 0.500 0.500
Ho 0.500 0.838 0.338
Ho 0.500 0.338 0.162
Ho 0.000 0.000 0.000
Ho 0.500 0.162 0.662
Au 0.000 0.866 0.634
Au 0.000 0.366 0.866
Au 0.000 0.634 0.134
Au 0.000 0.134 0.366
```

D(E_F) = 6.8 states/eV/f.u.
Formation enthalpy at 0 K = -0.710 eV/atom